No. 1
A relaxed structure of CrRe2Hg. Source: Alexandria, functional GGA-PBEsol.

Lattice parameters (Å, degrees): 2.840 4.786 4.774 100.71 90.00 107.26
Atoms (fractional coordinates):
Cr: 0.489 0.979 0.457
Hg: 0.248 0.495 0.743
Re: 0.009 0.018 0.050
Re: 0.754 0.508 0.250

**Space-group type**: Cm (8)
**DFT formation energy**: 0.560 eV/atom
**Crystal system**: monoclinic

No. 2
A relaxed structure of ZnSb2Pb. Source: Alexandria, functional GGA-PBEsol.

Lattice parameters (Å, degrees): 4.029 4.750 5.273 90.00 90.00 90.00
Atoms (fractional coordinates):
Pb: 0.000 0.500 0.500
Sb: 0.000 0.000 0.000
Sb: 0.500 0.500 0.000
Zn: 0.500 0.000 0.500

**Space-group type**: Pmmm (47)
**Formation energy from raw total energies**: 0.193 eV/atom
**Crystal system**: orthorhombic

No. 3
A relaxed structure of Hf3ScMn. Source: Alexandria, functional GGA-PBEsol.

Lattice parameters (Å, degrees): 4.770 4.770 4.770 90.00 90.00 90.00
Atoms (fractional coordinates):
Sc: 0.500 0.500 0.500
Mn: 0.000 0.000 0.000
Hf: 0.000 0.500 0.000
Hf: 0.000 0.000 0.500
Hf: 0.500 0.000 0.000

**Relative energy among the computed polymorphs**: 0 meV/atom
**Space-group type**: Pm-3m (221)
**DFT formation energy**: 0.322 eV/atom
**Crystal system**: cubic

No. 4
A relaxed structure of MoWSeS3. Source: Alexandria, functional GGA-PBEsol.

Lattice parameters (Å, degrees): 3.171 3.171 25.309 90.00 90.00 120.00
Atoms (fractional coordinates):
Mo: 0.000 0.000 0.998
Mo: 0.667 0.333 0.746
W: 0.000 0.000 0.500
W: 0.667 0.333 0.253
Se: 0.667 0.333 0.066
Se: 0.667 0.333 0.931
S: 0.000 0.000 0.685
S: 0.000 0.000 0.191
S: 0.667 0.333 0.561
S: 0.667 0.333 0.438
S: 0.000 0.000 0.807
S: 0.000 0.000 0.314

**Space-group type**: P3m1 (156)
**Formation energy from raw total energies**: -0.862 eV/atom
**Crystal system**: trigonal

No. 5
A relaxed structure of Li4VFe3O8. Source: Alexandria, functional GGA-PBEsol.

Lattice parameters (Å, degrees): 5.655 5.744 7.990 93.34 90.00 90.00
Atoms (fractional coordinates):
Li: 0.750 0.748 0.249
Li: 0.000 0.000 0.500
Li: 0.500 0.500 0.000
Li: 0.250 0.748 0.249
Li: 0.500 0.000 0.500
Li: 0.000 0.500 0.000
Li: 0.750 0.252 0.751
Li: 0.250 0.252 0.751
V: 0.000 0.000 0.000
V: 0.500 0.500 0.500
Fe: 0.500 0.000 0.000
Fe: 0.000 0.500 0.500
Fe: 0.750 0.753 0.751
Fe: 0.250 0.247 0.249
Fe: 0.750 0.247 0.249
Fe: 0.250 0.753 0.751
O: 0.760 0.246 0.006
O: 0.000 0.473 0.262
O: 0.000 0.986 0.754
O: 0.753 0.735 0.507
O: 0.500 0.481 0.255
O: 0.240 0.246 0.006
O: 0.500 0.019 0.253
O: 0.753 0.265 0.493
O: 0.247 0.735 0.507
O: 0.500 0.981 0.747
O: 0.760 0.754 0.994
O: 0.500 0.519 0.745
O: 0.247 0.265 0.493
O: 0.000 0.014 0.246
O: 0.000 0.527 0.738
O: 0.240 0.754 0.994

**Relative energy among the computed polymorphs**: 0 meV/atom
**Space-group type**: P2/m (10)
**Formation energy from raw total energies**: -1.774 eV/atom
**Crystal system**: monoclinic

No. 6
A relaxed structure of ZrB3Pd. Source: Alexandria, functional GGA-PBEsol.

Lattice parameters (Å, degrees): 4.239 4.239 4.239 90.00 90.00 90.00
Atoms (fractional coordinates):
B: 0.000 0.500 0.000
B: 0.000 0.000 0.500
B: 0.500 0.000 0.000
Zr: 0.000 0.000 0.000
Pd: 0.500 0.500 0.500

**Relative energy among the computed polymorphs**: 1050 meV/atom
**Space-group type**: Pm-3m (221)
**DFT formation energy**: 1.922 eV/atom
**Crystal system**: cubic

No. 7
A relaxed structure of SrOsPb2. Source: Alexandria, functional GGA-PBEsol.

Lattice parameters (Å, degrees): 3.583 4.857 6.322 101.93 90.00 111.65
Atoms (fractional coordinates):
Os: 0.000 0.000 0.500
Pb: 0.731 0.462 0.692
Pb: 0.269 0.538 0.308
Sr: 0.500 0.000 0.000

**Space-group type**: C2/m (12)
**DFT formation energy**: 0.291 eV/atom
**Crystal system**: monoclinic

No. 8
A relaxed structure of LaSiRh2. Source: Alexandria, functional GGA-PBEsol.

Lattice parameters (Å, degrees): 4.639 4.639 4.639 60.00 60.00 60.00
Atoms (fractional coordinates):
La: 0.500 0.500 0.500
Rh: 0.000 0.000 0.000
Rh: 0.750 0.750 0.750
Si: 0.250 0.250 0.250

**Space-group type**: F-43m (216)
**Formation energy from raw total energies**: -0.087 eV/atom
**Crystal system**: cubic

No. 9
A relaxed structure of Na8Ni9O18. Source: Alexandria, functional GGA-PBEsol.

Lattice parameters (Å, degrees): 6.974 7.579 7.990 66.01 89.43 66.24
Atoms (fractional coordinates):
Na: 0.207 0.113 0.207
Na: 0.109 0.573 0.106
Na: 0.446 0.221 0.446
Na: 0.317 0.680 0.321
Na: 0.683 0.320 0.679
Na: 0.554 0.779 0.554
Na: 0.891 0.427 0.894
Na: 0.793 0.887 0.793
Ni: 0.119 0.052 0.613
Ni: 0.549 0.282 0.052
Ni: 0.333 0.167 0.833
Ni: 0.780 0.383 0.285
Ni: 0.220 0.617 0.715
Ni: 0.667 0.833 0.167
Ni: 0.000 0.500 0.500
Ni: 0.451 0.718 0.948
Ni: 0.881 0.948 0.387
O: 0.568 0.038 0.266
O: 0.091 0.298 0.395
O: 0.848 0.195 0.172
O: 0.054 0.240 0.726
O: 0.471 0.475 0.164
O: 0.807 0.137 0.501
O: 0.283 0.440 0.591
O: 0.390 0.896 0.069
O: 0.759 0.626 0.068
O: 0.610 0.104 0.931
O: 0.241 0.374 0.932
O: 0.717 0.560 0.409
O: 0.193 0.863 0.499
O: 0.152 0.805 0.828
O: 0.529 0.525 0.836
O: 0.946 0.760 0.274
O: 0.909 0.702 0.605
O: 0.432 0.962 0.734

**Space-group type**: P-1 (2)
**Formation energy from raw total energies**: -1.113 eV/atom
**Crystal system**: triclinic

No. 10
A relaxed structure of CoAgIN2. Source: Alexandria, functional GGA-PBEsol.

Lattice parameters (Å, degrees): 3.658 3.658 6.968 90.00 90.00 90.00
Atoms (fractional coordinates):
I: 0.000 0.000 0.500
Co: 0.000 0.000 0.000
Ag: 0.500 0.500 0.500
N: 0.000 0.500 0.000
N: 0.500 0.000 0.000

**Space-group type**: P4/mmm (123)
**Formation energy from raw total energies**: 1.093 eV/atom
**Crystal system**: tetragonal

No. 11
A relaxed structure of Tl4IrPt. Source: Alexandria, functional GGA-PBEsol.

Lattice parameters (Å, degrees): 5.815 5.815 5.815 60.00 60.00 60.00
Atoms (fractional coordinates):
Ir: 0.750 0.750 0.750
Pt: 0.000 0.000 0.000
Tl: 0.375 0.375 0.375
Tl: 0.375 0.375 0.875
Tl: 0.875 0.375 0.375
Tl: 0.375 0.875 0.375

**Space-group type**: F-43m (216)
**DFT formation energy**: 1.150 eV/atom
**Crystal system**: cubic

No. 12
A relaxed structure of MnCdOs2. Source: Alexandria, functional GGA-PBEsol.

Lattice parameters (Å, degrees): 2.712 2.712 9.089 81.42 81.42 60.00
Atoms (fractional coordinates):
Cd: 0.500 0.500 0.500
Mn: 0.000 0.000 0.000
Os: 0.260 0.260 0.220
Os: 0.740 0.740 0.780

**Space-group type**: R-3m (166)
**DFT formation energy**: 0.309 eV/atom
**Crystal system**: trigonal